Entry from OQMD: LuZnTcNi after structural relaxation (PBE-GGA).

The structure in extended XYZ format:
```
16
Lattice="6.315 0.000 0.000 0.000 6.315 0.000 0.000 0.000 6.315" Properties=species:S:1:pos:R:3 pbc="T T T"
Lu 0.000 0.000 0.000
Lu 0.000 3.158 3.158
Lu 3.158 0.000 3.158
Lu 3.158 3.158 0.000
Zn 0.000 0.000 3.158
Zn 0.000 3.158 0.000
Zn 3.158 0.000 0.000
Zn 3.158 3.158 3.158
Tc 1.579 1.579 1.579
Tc 1.579 4.736 4.736
Tc 4.736 1.579 4.736
Tc 4.736 4.736 1.579
Ni 1.579 1.579 4.736
Ni 1.579 4.736 1.579
Ni 4.736 1.579 1.579
Ni 4.736 4.736 4.736
```

Calculated values
Space group = F-43m, No. 216
Raw total energy = -5.41 eV/atom
Calculated volume = 251.87 Å³ per cell
Energy of formation from the pure elements = 0.018 eV per atom